# AlMo2W

A relaxed structure of AlMo2W (GGA-PBE, Alexandria via LeMat-Bulk).

Cell: 5.2013 5.2013 5.2013 Å, 137.82 137.82 61.17°
Last column: nearest neighbours and their distance in Å.
Positions (direct):
Al 0.7500 0.2500 0.5000  8 Mo 2.65-2.92, 4 W 2.92
Mo 0.0000 0.0000 0.0000  4 W 2.65, 4 Mo 2.92, 4 Al 2.92
Mo 0.2500 0.7500 0.5000  4 Al 2.65, 4 W 2.92, 4 Mo 2.92
W 0.5000 0.5000 0.0000  8 Mo 2.65-2.92, 4 Al 2.92

The crystal system is tetragonal. As for the magnetization: 0.00 μB per cell. As for the formation energy from the elements: 27 kJ/mol of formula units. The value obtained for the density of states at the Fermi level is 0.8333 states/eV per atom.



# ZrHg2Cl

A relaxed structure of ZrHg2Cl (GGA-PBE, Alexandria via LeMat-Bulk).

Cell: 5.4625 5.4625 5.4625 Å, 131.93 131.93 70.34°
Last column: nearest neighbours and their distance in Å.
Positions (direct):
Cl 0.7500 0.2500 0.5000  8 Hg 3.15, 4 Zr 3.15
Hg 0.0000 0.0000 0.0000  4 Zr 3.15, 4 Hg 3.15, 4 Cl 3.15
Hg 0.2500 0.7500 0.5000  4 Cl 3.15, 4 Zr 3.15, 4 Hg 3.15
Zr 0.5000 0.5000 0.0000  8 Hg 3.15, 4 Cl 3.15

The crystal system is tetragonal. The excess energy over the best structure of this formula in the dataset is 0.454 eV per atom. As for the energy relative to the elements, uncorrected: -84 meV per atom. As for the magnetization: 0.00 μB per cell. The value obtained for the density of states at the Fermi level is 0.6778 states/eV per atom.



# NdScTi

A relaxed structure of NdScTi (GGA-PBE, Alexandria via LeMat-Bulk).

Cell: 3.3002 3.2990 15.8973 Å, 90.00 90.00 120.01°
Last column: nearest neighbours and their distance in Å.
Positions (direct):
Nd 0.6117 0.2235 0.3130  3 Ti 3.24-3.25, 6 Nd 3.30, 3 Sc 3.53
Nd 0.6117 0.2235 0.6870  3 Ti 3.24-3.25, 6 Nd 3.30, 3 Sc 3.53
Ti 0.2767 0.5535 0.8522  3 Sc 3.02, 3 Nd 3.24-3.25, 6 Ti 3.30
Ti 0.2767 0.5535 0.1478  3 Sc 3.02, 3 Nd 3.24-3.25, 6 Ti 3.30
Sc 0.2795 0.5590 0.5000  6 Sc 3.30, 6 Nd 3.53
Sc 0.6101 0.2202 0.0000  6 Ti 3.02, 6 Sc 3.30

The crystal system is orthorhombic. As for the magnetization: 0.00 μB per cell. As for the formation energy from the elements: 75 kJ/mol of formula units. The value obtained for the density of states at the Fermi level is 1.8651 states/eV per atom.